(1)
The following is a DFT calculation (SCAN) of a PBEsol-optimized structure of MnNi6Mo.

Cell: 6.1471 6.1471 10.0392 Å, 90.00 90.00 109.37°
With the nearest neighbours (Å) after each atom.
Fractional positions:
1 Mn 0.0000 0.0000 0.2461  12 Ni 2.47-2.55
2 Mn 0.0000 0.0000 0.7539  12 Ni 2.47-2.55
3 Mn 0.2499 0.7501 0.0000  12 Ni 2.51-2.53
4 Mn 0.7501 0.2499 0.0000  12 Ni 2.51-2.53
5 Ni 0.0000 0.0000 0.0000  4 Mn 2.47-2.51, 8 Ni 2.52
6 Ni 0.0000 0.0000 0.5000  8 Ni 2.51, 2 Mo 2.53, 2 Mn 2.55
7 Ni 0.1264 0.3759 0.1254  1 Mo 2.47, 3 Mn 2.49-2.52, 8 Ni 2.50-2.52
8 Ni 0.1257 0.3757 0.3755  3 Mo 2.50-2.55, 8 Ni 2.50-2.51, 1 Mn 2.54
9 Ni 0.1257 0.3757 0.6245  3 Mo 2.50-2.55, 8 Ni 2.50-2.51, 1 Mn 2.54
10 Ni 0.1264 0.3759 0.8746  1 Mo 2.47, 3 Mn 2.49-2.52, 8 Ni 2.50-2.52
11 Ni 0.2502 0.7498 0.2515  2 Mo 2.49-2.51, 8 Ni 2.50-2.52, 2 Mn 2.51-2.53
12 Ni 0.2502 0.7498 0.7485  2 Mo 2.49-2.51, 8 Ni 2.50-2.52, 2 Mn 2.51-2.53
13 Ni 0.3759 0.1264 0.1254  1 Mo 2.47, 3 Mn 2.49-2.52, 8 Ni 2.50-2.52
14 Ni 0.3757 0.1257 0.3755  3 Mo 2.50-2.55, 8 Ni 2.50-2.51, 1 Mn 2.54
15 Ni 0.3757 0.1257 0.6245  3 Mo 2.50-2.55, 8 Ni 2.50-2.51, 1 Mn 2.54
16 Ni 0.3759 0.1264 0.8746  1 Mo 2.47, 3 Mn 2.49-2.52, 8 Ni 2.50-2.52
17 Ni 0.5000 0.5000 0.0000  2 Mo 2.44, 8 Ni 2.51, 2 Mn 2.51
18 Ni 0.5000 0.5000 0.5000  4 Mo 2.49-2.58, 8 Ni 2.50
19 Ni 0.6241 0.8736 0.1254  1 Mo 2.47, 3 Mn 2.49-2.52, 8 Ni 2.50-2.52
20 Ni 0.6243 0.8743 0.3755  3 Mo 2.50-2.55, 8 Ni 2.50-2.51, 1 Mn 2.54
21 Ni 0.6243 0.8743 0.6245  3 Mo 2.50-2.55, 8 Ni 2.50-2.51, 1 Mn 2.54
22 Ni 0.6241 0.8736 0.8746  1 Mo 2.47, 3 Mn 2.49-2.52, 8 Ni 2.50-2.52
23 Ni 0.7498 0.2502 0.2515  2 Mo 2.49-2.51, 8 Ni 2.50-2.52, 2 Mn 2.51-2.53
24 Ni 0.7498 0.2502 0.7485  2 Mo 2.49-2.51, 8 Ni 2.50-2.52, 2 Mn 2.51-2.53
25 Ni 0.8736 0.6241 0.1254  1 Mo 2.47, 3 Mn 2.49-2.52, 8 Ni 2.50-2.52
26 Ni 0.8743 0.6243 0.3755  3 Mo 2.50-2.55, 8 Ni 2.50-2.51, 1 Mn 2.54
27 Ni 0.8743 0.6243 0.6245  3 Mo 2.50-2.55, 8 Ni 2.50-2.51, 1 Mn 2.54
28 Ni 0.8736 0.6241 0.8746  1 Mo 2.47, 3 Mn 2.49-2.52, 8 Ni 2.50-2.52
29 Mo 0.2520 0.7480 0.5000  12 Ni 2.49-2.53
30 Mo 0.5000 0.5000 0.2431  12 Ni 2.44-2.58
31 Mo 0.5000 0.5000 0.7569  12 Ni 2.44-2.58
32 Mo 0.7480 0.2520 0.5000  12 Ni 2.49-2.53

Calculated values
- ΔE_f (eV/atom) = -0.102
- SG = No. 65

(2)
The following is a DFT calculation (SCAN) of a PBEsol-optimized structure of MnNiMo.

Cell: 2.6024 2.6024 6.3698 Å, 90.00 90.00 120.00°
With the nearest neighbours (Å) after each atom.
Fractional positions:
1 Mn 0.0000 0.0000 0.0000  3 Ni 2.47, 6 Mn 2.60, 3 Mo 2.68
2 Ni 0.3333 0.6667 0.3073  3 Mn 2.47, 6 Ni 2.60, 3 Mo 2.66
3 Mo 0.6667 0.3333 0.6514  6 Mo 2.60, 3 Ni 2.66, 3 Mn 2.68

Calculated values
- ΔE_f (eV/atom) = 0.210
- SG = No. 156
- relative energy among the computed polymorphs (meV per atom) = 0

(3)
The following is a DFT calculation (SCAN) of a PBEsol-optimized structure of MnNiMo.

Cell: 3.9573 3.9573 3.9573 Å, 60.00 60.00 60.00°
With the nearest neighbours (Å) after each atom.
Fractional positions:
1 Mn 0.0000 0.0000 0.0000  4 Ni 2.42
2 Ni 0.2500 0.2500 0.2500  4 Mn 2.42, 4 Mo 2.42
3 Mo 0.5000 0.5000 0.5000  4 Ni 2.42

Calculated values
- ΔE_f (eV/atom) = 0.388
- SG = No. 216
- relative energy among the computed polymorphs (meV per atom) = 178

(4)
The following is a DFT calculation (SCAN) of a PBEsol-optimized structure of Ta2MnNiMo.

Cell: 4.7208 4.7208 4.4780 Å, 90.00 90.00 90.00°
With the nearest neighbours (Å) after each atom.
Fractional positions:
1 Ta 0.0000 0.5000 0.0000  2 Mo 2.36
2 Ta 0.5000 0.0000 0.0000  2 Mo 2.36
3 Mn 0.0000 0.0000 0.5000  8 Ta 3.25, 4 Ni 3.34
4 Ni 0.5000 0.5000 0.5000  2 Mo 2.24
5 Mo 0.5000 0.5000 0.0000  2 Ni 2.24, 4 Ta 2.36

Calculated values
- ΔE_f (eV/atom) = 1.412
- SG = No. 123

(5)
The following is a DFT calculation (SCAN) of a PBEsol-optimized structure of MnMoPO2.

Cell: 3.5221 3.5221 4.9688 Å, 90.00 90.00 90.00°
With the nearest neighbours (Å) after each atom.
Fractional positions:
1 Mn 0.0000 0.0000 0.0000  4 O 1.76
2 Mo 0.5000 0.5000 0.5000  4 P 2.49
3 P 0.0000 0.0000 0.5000  2 Mn 2.48, 4 Mo 2.49
4 O 0.0000 0.5000 0.0000  2 Mn 1.76
5 O 0.5000 0.0000 0.0000  2 Mn 1.76

Calculated values
- energy (eV/f.u.) = -78.81
- SG = No. 123

(6)
The following is a DFT calculation (SCAN) of a PBEsol-optimized structure of MnTeMoO6.

Cell: 5.0777 5.2772 8.8292 Å, 90.00 90.00 90.00°
With the nearest neighbours (Å) after each atom.
Fractional positions:
1 Mn 0.0000 0.0000 0.0257  6 O 2.10-2.24
2 Mn 0.5000 0.5000 0.9743  6 O 2.10-2.24
3 Te 0.0000 0.5000 0.2560  4 O 1.92-2.13
4 Te 0.5000 0.0000 0.7440  4 O 1.92-2.13
5 Mo 0.0000 0.5000 0.6888  4 O 1.71-1.86
6 Mo 0.5000 0.0000 0.3112  4 O 1.71-1.86
7 O 0.1586 0.2920 0.5710  1 Mo 1.71
8 O 0.2191 0.6758 0.1128  1 Te 1.92, 1 Mn 2.10
9 O 0.2431 0.1815 0.2076  1 Mo 1.86
10 O 0.2569 0.6815 0.7924  1 Mo 1.86
11 O 0.2809 0.1758 0.8872  1 Te 1.92, 1 Mn 2.10
12 O 0.3414 0.7920 0.4290  1 Mo 1.71
13 O 0.6586 0.2080 0.4290  1 Mo 1.71
14 O 0.7191 0.8242 0.8872  1 Te 1.92, 1 Mn 2.10
15 O 0.7431 0.3185 0.7924  1 Mo 1.86
16 O 0.7569 0.8185 0.2076  1 Mo 1.86
17 O 0.7809 0.3242 0.1128  1 Te 1.92, 1 Mn 2.10
18 O 0.8414 0.7080 0.5710  1 Mo 1.71

Calculated values
- energy (eV/f.u.) = -144.08
- SG = No. 18

(7)
The following is a DFT calculation (SCAN) of a PBEsol-optimized structure of MnMoOs2.

Cell: 3.8021 3.8021 3.7669 Å, 90.00 90.00 90.00°
With the nearest neighbours (Å) after each atom.
Fractional positions:
1 Mn 0.0000 0.0000 0.0000  8 Os 2.68, 4 Mo 2.69
2 Mo 0.5000 0.5000 0.0000  8 Os 2.68, 4 Mn 2.69
3 Os 0.0000 0.5000 0.5000  4 Mn 2.68, 4 Mo 2.68, 4 Os 2.69
4 Os 0.5000 0.0000 0.5000  4 Mn 2.68, 4 Mo 2.68, 4 Os 2.69

Calculated values
- ΔE_f (eV/atom) = -0.037
- SG = No. 123
- relative energy among the computed polymorphs (meV per atom) = 0

(8)
The following is a DFT calculation (SCAN) of a PBEsol-optimized structure of MnMoOs2.

Cell: 4.6543 4.6543 4.6543 Å, 132.06 132.06 70.13°
With the nearest neighbours (Å) after each atom.
Fractional positions:
1 Mn 0.0000 0.0000 0.0000  8 Os 2.67-2.68, 4 Mo 2.68
2 Mo 0.7500 0.2500 0.5000  8 Os 2.67-2.68, 4 Mn 2.68
3 Os 0.2500 0.7500 0.5000  4 Mo 2.67, 4 Mn 2.68, 4 Os 2.68
4 Os 0.5000 0.5000 0.0000  4 Mn 2.67, 4 Mo 2.68, 4 Os 2.68

Calculated values
- ΔE_f (eV/atom) = -0.005
- SG = No. 119
- relative energy among the computed polymorphs (meV per atom) = 32